First-principles (PBE+U) data for a geometry-optimized WOF4 structure, as listed in Alexandria.

POSCAR file:
```
WOF4
1.0
8.267 0.000 0.000
0.000 5.116 0.000
-3.470 0.000 9.644
W O F
4 4 16
Direct
0.231 0.031 0.048 W
0.231 0.469 0.548 W
0.769 0.531 0.452 W
0.769 0.969 0.952 W
0.378 0.220 0.009 O
0.378 0.280 0.509 O
0.622 0.720 0.491 O
0.622 0.780 0.991 O
0.013 0.188 0.925 F
0.013 0.312 0.425 F
0.190 0.734 0.412 F
0.190 0.766 0.912 F
0.195 0.233 0.190 F
0.195 0.267 0.690 F
0.368 0.703 0.681 F
0.368 0.797 0.181 F
0.632 0.203 0.819 F
0.632 0.297 0.319 F
0.805 0.733 0.310 F
0.805 0.767 0.810 F
0.810 0.234 0.088 F
0.810 0.266 0.588 F
0.987 0.688 0.575 F
0.987 0.812 0.075 F
```

## Properties
- Density of states at the Fermi level: 0.0 states/eV/cell
- Symmetry: P2_1/c, No. 14
- Total DFT energy (no corrections): -137.468 eV per cell